[1]
Below is a relaxed structure of Pr6Ho8Tl, with properties calculated at the PBE-GGA level.

The density of states at the Fermi level comes out at 18.3 states/eV/cell. The energy of formation from the pure elements is 0.075 eV per atom.

The space group is P-3 (No. 147) and the conventional cell measures 9.5232, 9.5232 and 6.3976 Å, with angles of 90.00, 90.00 and 120.00 degrees. The asymmetric unit holds Pr at (0.0897, 0.4512, 0.1869), Ho at (0.0398, 0.2616, 0.6886), Ho at (0.3333, 0.6667, 0.6742) and Tl at (0.0000, 0.0000, 0.0000).

[2]
Below is a relaxed structure of Ag2SbPb, with properties calculated at the PBE-GGA level.

The density of states at the Fermi level comes out at 1.9 states/eV/cell. The calculation puts the formation energy from raw total energies at 0.104 eV per atom.

The space group is P2/m (No. 10) and the conventional cell measures 3.422, 4.796 and 6.023 Å, with angles of 90.00, 90.11 and 90.00 degrees. The asymmetric unit holds Ag at (0.000, 0.000, 0.239), Sb at (0.000, 0.500, 0.500) and Pb at (0.500, 0.500, 0.000).

[3]
Below is a relaxed structure of La6Ho3Cd, with properties calculated at the PBE-GGA level.

The density of states at the Fermi level comes out at 31.9 states/eV/cell. The energy of formation from the pure elements is -0.021 eV per atom.

The space group is P2_1/m (No. 11) and the conventional cell measures 11.253, 5.199 and 11.553 Å, with angles of 90.00, 92.15 and 90.00 degrees. The asymmetric unit holds La at (0.046, 0.250, 0.393), La at (0.141, 0.750, 0.189), La at (0.154, 0.250, 0.691), La at (0.239, 0.250, 0.995), La at (0.350, 0.750, 0.800), La at (0.452, 0.250, 0.602), Ho at (0.249, 0.750, 0.493), Ho at (0.348, 0.250, 0.296), Ho at (0.450, 0.750, 0.099) and Cd at (0.053, 0.750, 0.895).

[4]
Below is a relaxed structure of Pr2Mg3Pb2, with properties calculated at the PBE-GGA level.

The density of states at the Fermi level comes out at 10.2 states/eV/cell. The energy of formation from the pure elements is -0.317 eV per atom.

The space group is C2/m (No. 12) and the conventional cell measures 11.561, 4.725 and 7.701 Å, with angles of 90.00, 111.67 and 90.00 degrees. The asymmetric unit holds Pr at (0.145, 0.000, 0.278), Mg at (0.000, 0.500, 0.500), Mg at (0.104, 0.500, 0.930) and Pb at (0.153, 0.000, 0.731).

[5]
Below is a relaxed structure of ZnCo2Rh, with properties calculated at the PBE-GGA level.

The density of states at the Fermi level comes out at 13.2 states/eV/cell. The energy of formation from the pure elements is 0.030 eV per atom.

The space group is Cmmm (No. 65) and the conventional cell measures 5.084, 7.523 and 2.623 Å, with angles of 90.00, 90.00 and 90.00 degrees. The asymmetric unit holds Zn at (0.000, 0.000, 0.000), Co at (0.250, 0.250, 0.500) and Rh at (0.000, 0.500, 0.000).

[6]
Below is a relaxed structure of PmGa8Os2, with properties calculated at the PBE-GGA level.

The density of states at the Fermi level comes out at 7.4 states/eV/cell. The energy of formation from the pure elements is -0.218 eV per atom.

The space group is C2/m (No. 12) and the conventional cell measures 8.810, 10.244 and 4.817 Å, with angles of 90.00, 103.03 and 90.00 degrees. The asymmetric unit holds Pm at (0.000, 0.000, 0.000), Ga at (0.000, 0.300, 0.000), Ga at (0.126, 0.500, 0.748), Ga at (0.226, 0.128, 0.602) and Os at (0.000, 0.282, 0.500).

[7]
Below is a relaxed structure of NaSnPb, with properties calculated at the PBE-GGA level.

The density of states at the Fermi level comes out at 5.1 states/eV/cell. The energy of formation from the pure elements is -0.075 eV per atom. The energy relative to the lowest polymorph listed for this composition comes out at 48 meV/atom.

The space group is C2/m (No. 12) and the conventional cell measures 10.931, 6.721 and 5.428 Å, with angles of 90.00, 119.38 and 90.00 degrees. The asymmetric unit holds Na at (0.092, 0.000, 0.342), Sn at (0.075, 0.500, 0.326) and Pb at (0.250, 0.250, 0.000).

[8]
Below is a relaxed structure of CuBSbMo2, with properties calculated at the PBE-GGA level.

The density of states at the Fermi level comes out at 5.0 states/eV/cell. The calculation puts the formation energy from raw total energies at 1.124 eV per atom.

The space group is P4/mmm (No. 123) and the conventional cell measures 4.758, 4.758 and 3.595 Å, with angles of 90.00, 90.00 and 90.00 degrees. The asymmetric unit holds Cu at (0.000, 0.000, 0.000), B at (0.000, 0.000, 0.500), Sb at (0.500, 0.500, 0.500) and Mo at (0.000, 0.500, 0.000).

[9]
Below is a relaxed structure of ThTaN3, with properties calculated at the PBE-GGA level.

The density of states at the Fermi level comes out at 0.3 states/eV/cell. The calculation puts the formation energy from raw total energies at -1.236 eV per atom.

The space group is Pm-3m (No. 221) and the conventional cell measures 4.064, 4.064 and 4.064 Å, with angles of 90.00, 90.00 and 90.00 degrees. The asymmetric unit holds Th at (0.000, 0.000, 0.000), Ta at (0.500, 0.500, 0.500) and N at (0.000, 0.500, 0.500).

[10]
Below is a relaxed structure of AcPu2Pt2Au, with properties calculated at the PBE-GGA level.

The density of states at the Fermi level comes out at 24.7 states/eV/cell. The energy of formation from the pure elements is -0.698 eV per atom.

The space group is P-3m1 (No. 164) and the conventional cell measures 4.9943, 4.9943 and 6.8624 Å, with angles of 90.00, 90.00 and 120.00 degrees. The asymmetric unit holds Ac at (0.0000, 0.0000, 0.0000), Pu at (0.3333, 0.6667, 0.6644), Pt at (0.3333, 0.6667, 0.2283) and Au at (0.0000, 0.0000, 0.5000).

[11]
Below is a relaxed structure of NaErSc2Te4, with properties calculated at the PBE-GGA level.

The density of states at the Fermi level comes out at 4.1 states/eV/cell. The calculation puts the formation energy from raw total energies at -1.184 eV per atom.

The space group is P2/m (No. 10) and the conventional cell measures 7.397, 4.227 and 7.468 Å, with angles of 90.00, 108.69 and 90.00 degrees. The asymmetric unit holds Na at (0.000, 0.000, 0.000), Er at (0.500, 0.500, 0.000), Sc at (0.000, 0.500, 0.500), Sc at (0.500, 0.000, 0.500), Te at (0.247, 0.000, 0.739) and Te at (0.258, 0.500, 0.265).

[12]
Below is a relaxed structure of InINO2, with properties calculated at the PBE-GGA level.

The density of states at the Fermi level comes out at 3.7 states/eV/cell. The calculation puts the formation energy from raw total energies at 0.644 eV per atom.

The space group is P4/mmm (No. 123) and the conventional cell measures 4.159, 4.159 and 4.381 Å, with angles of 90.00, 90.00 and 90.00 degrees. The asymmetric unit holds In at (0.000, 0.000, 0.000), I at (0.500, 0.500, 0.500), N at (0.000, 0.000, 0.500) and O at (0.000, 0.500, 0.000).

[13]
Below is a relaxed structure of BBr, with properties calculated at the PBE-GGA level.

The energy relative to the lowest polymorph listed for this composition comes out at 521 meV/atom. The calculation puts the formation energy from raw total energies at 0.195 eV per atom.

The space group is Cc (No. 9) and the conventional cell measures 9.142, 7.477 and 3.315 Å, with angles of 90.00, 102.41 and 90.00 degrees. The asymmetric unit holds B at (0.000, 0.030, 0.000) and Br at (0.366, 0.263, 0.530).

[14]
Below is a relaxed structure of ErVBr2, with properties calculated at the PBE-GGA level.

The density of states at the Fermi level comes out at 9.6 states/eV/cell. The calculation puts the formation energy from raw total energies at -0.293 eV per atom.

The space group is R-3m (No. 166, hexagonal axes) and the conventional cell measures 3.7332, 3.7332 and 27.0482 Å, with angles of 90.00, 90.00 and 120.00 degrees. The asymmetric unit holds Er at (0.0000, 0.0000, 0.0000), V at (0.0000, 0.0000, 0.5000) and Br at (0.0000, 0.0000, 0.1093).

[15]
Below is a relaxed structure of LuGaSi4, with properties calculated at the PBE-GGA level.

The density of states at the Fermi level comes out at 11.6 states/eV/cell. The calculation puts the formation energy from raw total energies at -0.107 eV per atom.

The space group is F-43m (No. 216) and the conventional cell measures 7.344, 7.344 and 7.344 Å, with angles of 90.00, 90.00 and 90.00 degrees. The asymmetric unit holds Lu at (0.000, 0.000, 0.000), Ga at (0.250, 0.250, 0.750) and Si at (0.124, 0.124, 0.376).

[16]
Below is a relaxed structure of V2Fe2Au, with properties calculated at the PBE-GGA level.

The density of states at the Fermi level comes out at 7.0 states/eV/cell. The energy of formation from the pure elements is -0.023 eV per atom. The energy relative to the lowest polymorph listed for this composition comes out at 0 meV/atom.

The space group is P4/mbm (No. 127) and the conventional cell measures 6.825, 6.825 and 2.788 Å, with angles of 90.00, 90.00 and 90.00 degrees. The asymmetric unit holds V at (0.158, 0.342, 0.000), Fe at (0.135, 0.635, 0.500) and Au at (0.000, 0.000, 0.500).

[17]
Below is a relaxed structure of Tl2H2Cl2O, with properties calculated at the PBE-GGA level.

The density of states at the Fermi level comes out at 0.0 states/eV/cell. The value obtained for the total energy is -26.02 eV per cell.

The space group is P-1 (No. 2) and the conventional cell measures 4.286, 6.119 and 6.125 Å, with angles of 81.50, 76.60 and 76.65 degrees. The asymmetric unit holds Tl at (0.001, 0.265, 0.234), H at (0.487, 0.894, 0.394), Cl at (0.362, 0.710, 0.212) and O at (0.500, 0.000, 0.500).

[18]
Below is a relaxed structure of Ac6Sn3N, with properties calculated at the PBE-GGA level.

The density of states at the Fermi level comes out at 41.4 states/eV/cell. The calculation puts the formation energy from raw total energies at -0.598 eV per atom.

The space group is Cmc2_1 (No. 36) and the conventional cell measures 12.942, 15.926 and 7.773 Å, with angles of 90.00, 90.00 and 90.00 degrees. The asymmetric unit holds Ac at (0.000, 0.049, 0.000), Ac at (0.000, 0.221, 0.423), Ac at (0.153, 0.260, 0.974), Ac at (0.159, 0.476, 0.436), Sn at (0.000, 0.382, 0.724), Sn at (0.171, 0.105, 0.665) and N at (0.000, 0.195, 0.109).

[19]
Below is a relaxed structure of SmPuGa, with properties calculated at the PBE-GGA level.

The density of states at the Fermi level comes out at 5.5 states/eV/cell. The energy of formation from the pure elements is -0.131 eV per atom. The energy relative to the lowest polymorph listed for this composition comes out at 76 meV/atom.

The space group is P3m1 (No. 156) and the conventional cell measures 5.0483, 5.0483 and 3.4509 Å, with angles of 90.00, 90.00 and 120.00 degrees. The asymmetric unit holds Sm at (0.0000, 0.0000, 0.0000), Pu at (0.6667, 0.3333, 0.5864) and Ga at (0.3333, 0.6667, 0.3151).

[20]
Below is a relaxed structure of Rb2Ca3NdF12, with properties calculated at the PBE-GGA level.

The density of states at the Fermi level comes out at 58.4 states/eV/cell. The calculation puts the formation energy from raw total energies at -3.389 eV per atom.

The space group is R-3m (No. 166, hexagonal axes) and the conventional cell measures 8.1531, 8.1531 and 21.2354 Å, with angles of 90.00, 90.00 and 120.00 degrees. The asymmetric unit holds Rb at (0.0000, 0.0000, 0.0913), Ca at (0.0000, 0.5000, 0.0000), Nd at (0.0000, 0.0000, 0.5000), F at (0.0474, 0.5237, 0.3575) and F at (0.0723, 0.5362, 0.1034).